No. 1
Computed, not measured: an optimized crystal structure of BaTb2Fe at the PBE level of DFT.

Summary:
- space group = R-3m
- energy relative to the elements (eV/atom) = 0.31
- DOS at the Fermi energy (states/eV/atom) = 0.967
- VASP energy (Ry/atom) = -0.3379

Lattice parameters (Å, degrees): 10.832 10.832 10.832 20.36 20.36 20.36
Element x y z (fractional)
Ba1 0.000 0.000 0.000
Tb1 0.118 0.118 0.118
Tb2 0.882 0.882 0.882
Fe1 0.500 0.500 0.500

---

No. 2
Computed, not measured: an optimized crystal structure of BaTb3Fe at the PBE level of DFT.

Summary:
- space group = Pm-3m
- energy relative to the elements (eV/atom) = 0.13
- DOS at the Fermi energy (states/eV/atom) = 1.038
- VASP energy (Ry/atom) = -0.3472

Lattice parameters (Å, degrees): 5.446 5.446 5.446 90.00 90.00 90.00
Element x y z (fractional)
Ba1 0.000 0.000 0.000
Tb1 0.000 0.500 0.500
Tb2 0.500 0.000 0.500
Tb3 0.500 0.500 0.000
Fe1 0.500 0.500 0.500

---

No. 3
Computed, not measured: an optimized crystal structure of Ba2FeTc at the PBE level of DFT.

Summary:
- space group = P4/mmm
- energy relative to the elements (eV/atom) = 1.13
- energy relative to the lowest polymorph listed for this composition (meV per atom) = 749
- DOS at the Fermi energy (states/eV/atom) = 1.414
- VASP energy (Ry/atom) = -0.3334

Lattice parameters (Å, degrees): 3.771 3.771 8.204 90.00 90.00 90.00
Element x y z (fractional)
Ba1 0.000 0.000 0.249
Ba2 0.000 0.000 0.751
Fe1 0.500 0.500 0.500
Tc1 0.500 0.500 0.000

---

No. 4
Computed, not measured: an optimized crystal structure of Ba2FeTc at the PBE level of DFT.

Summary:
- space group = F-43m
- energy relative to the elements (eV/atom) = 1.13
- energy relative to the lowest polymorph listed for this composition (meV per atom) = 750
- DOS at the Fermi energy (states/eV/atom) = 0.984
- VASP energy (Ry/atom) = -0.3333

Lattice parameters (Å, degrees): 5.337 5.337 5.337 60.00 60.00 60.00
Element x y z (fractional)
Ba1 0.000 0.000 0.000
Ba2 0.250 0.250 0.250
Fe1 0.500 0.500 0.500
Tc1 0.750 0.750 0.750

---

No. 5
Computed, not measured: an optimized crystal structure of BaFeTc2 at the PBE level of DFT.

Summary:
- space group = Cmmm
- energy relative to the elements (eV/atom) = 1.35
- energy relative to the lowest polymorph listed for this composition (meV per atom) = 839
- DOS at the Fermi energy (states/eV/atom) = 0.950
- VASP energy (Ry/atom) = -0.4722

Lattice parameters (Å, degrees): 5.793 5.793 2.803 90.00 90.00 125.41
Element x y z (fractional)
Ba1 0.000 0.000 0.000
Fe1 0.500 0.500 0.000
Tc1 0.000 0.500 0.500
Tc2 0.500 0.000 0.500

---

No. 6
Computed, not measured: an optimized crystal structure of BaFeTc2 at the PBE level of DFT.

Summary:
- space group = P4mm
- energy relative to the elements (eV/atom) = 0.60
- energy relative to the lowest polymorph listed for this composition (meV per atom) = 89
- DOS at the Fermi energy (states/eV/atom) = 1.316
- VASP energy (Ry/atom) = -0.5273

Lattice parameters (Å, degrees): 3.231 3.231 7.820 90.00 90.00 90.00
Element x y z (fractional)
Ba1 0.000 0.000 0.000
Fe1 0.500 0.500 0.337
Tc1 0.000 0.000 0.502
Tc2 0.500 0.500 0.660

---

No. 7
Computed, not measured: an optimized crystal structure of BaFeTc at the PBE level of DFT.

Summary:
- space group = P3m1
- energy relative to the elements (eV/atom) = 0.62
- energy relative to the lowest polymorph listed for this composition (meV per atom) = 0
- DOS at the Fermi energy (states/eV/atom) = 1.601
- VASP energy (Ry/atom) = -0.4630

Lattice parameters (Å, degrees): 3.934 3.934 5.380 90.00 90.00 120.00
Element x y z (fractional)
Ba1 0.000 0.000 0.000
Fe1 0.333 0.667 0.477
Tc1 0.667 0.333 0.513

---

No. 8
Computed, not measured: an optimized crystal structure of BaFeTc2 at the PBE level of DFT.

Summary:
- space group = Pmmm
- energy relative to the elements (eV/atom) = 0.70
- energy relative to the lowest polymorph listed for this composition (meV per atom) = 182
- DOS at the Fermi energy (states/eV/atom) = 1.056
- VASP energy (Ry/atom) = -0.5205

Lattice parameters (Å, degrees): 3.166 3.193 7.844 90.00 90.00 90.00
Element x y z (fractional)
Ba1 0.000 0.000 0.000
Fe1 0.000 0.000 0.500
Tc1 0.500 0.500 0.345
Tc2 0.500 0.500 0.655

---

No. 9
Computed, not measured: an optimized crystal structure of BaFeTc2 at the PBE level of DFT.

Summary:
- space group = R3m
- energy relative to the elements (eV/atom) = 0.52
- energy relative to the lowest polymorph listed for this composition (meV per atom) = 0
- DOS at the Fermi energy (states/eV/atom) = 0.979
- VASP energy (Ry/atom) = -0.5339

Lattice parameters (Å, degrees): 6.486 6.486 6.486 37.91 37.91 37.91
Element x y z (fractional)
Ba1 0.000 0.000 0.000
Fe1 0.816 0.816 0.816
Tc1 0.193 0.193 0.193
Tc2 0.489 0.489 0.489

---

No. 10
Computed, not measured: an optimized crystal structure of BaFeTc2 at the PBE level of DFT.

Summary:
- space group = P4/mmm
- energy relative to the elements (eV/atom) = 1.41
- energy relative to the lowest polymorph listed for this composition (meV per atom) = 894
- DOS at the Fermi energy (states/eV/atom) = 1.501
- VASP energy (Ry/atom) = -0.4682

Lattice parameters (Å, degrees): 3.836 3.836 5.219 90.00 90.00 90.00
Element x y z (fractional)
Ba1 0.000 0.000 0.000
Fe1 0.500 0.500 0.000
Tc1 0.000 0.500 0.500
Tc2 0.500 0.000 0.500

---

No. 11
Computed, not measured: an optimized crystal structure of Ba2FeTc at the PBE level of DFT.

Summary:
- space group = P4mm
- energy relative to the elements (eV/atom) = 0.62
- energy relative to the lowest polymorph listed for this composition (meV per atom) = 240
- DOS at the Fermi energy (states/eV/atom) = 1.272
- VASP energy (Ry/atom) = -0.3708

Lattice parameters (Å, degrees): 3.530 3.530 9.508 90.00 90.00 90.00
Element x y z (fractional)
Ba1 0.000 0.000 0.000
Ba2 0.500 0.500 0.428
Fe1 0.000 0.000 0.678
Tc1 0.500 0.500 0.742

---

No. 12
Computed, not measured: an optimized crystal structure of Ba4FeTc at the PBE level of DFT.

Summary:
- space group = F-43m
- energy relative to the elements (eV/atom) = 1.49
- DOS at the Fermi energy (states/eV/atom) = 2.114
- VASP energy (Ry/atom) = -0.2153

Lattice parameters (Å, degrees): 6.992 6.992 6.992 60.00 60.00 60.00
Element x y z (fractional)
Ba1 0.125 0.125 0.125
Ba2 0.125 0.125 0.624
Ba3 0.125 0.624 0.125
Ba4 0.624 0.125 0.125
Fe1 0.750 0.750 0.750
Tc1 0.500 0.500 0.500